(1)
An optimized crystal structure of TiRe. Source: Alexandria via LeMat-Bulk, functional PBE.

For the formation energy, the calculation gives 0.657 eV per atom. The total energy comes out at -9.51 eV/atom.

It has space group P4_2/mnm (No. 136), with a = 5.121 Å, b = 5.121 Å, c = 5.168 Å, α = 90.00°, β = 90.00° and γ = 90.00°. The inequivalent atoms are Ti at (0.205, 0.205, 0.000) and Re at (0.196, 0.196, 0.500).



(2)
An optimized crystal structure of Ti2Re. Source: Alexandria via LeMat-Bulk, functional PBE.

For the formation energy, the calculation gives -0.314 eV per atom. The total energy comes out at -9.73 eV/atom.

It has space group P-3m1 (No. 164), with a = 4.3885 Å, b = 4.3885 Å, c = 2.8250 Å, α = 90.00°, β = 90.00° and γ = 120.00°. The inequivalent atoms are Ti at (0.3333, 0.6667, 0.2981) and Re at (0.0000, 0.0000, 0.0000).